# 1
## Be2NiW (GGA-PBEsol)

Data for an optimized crystal structure of Be2NiW.

Cell lengths 3.8869, 3.8869, 3.8869 Å; angles 60.00, 60.00, 60.00 degrees
Last column: nearest neighbours and their distance in Å.
Positions (direct):
1 W 0.5000 0.5000 0.5000  8 Be 2.38
2 Be 0.2500 0.2500 0.2500  4 W 2.38, 4 Ni 2.38
3 Be 0.7500 0.7500 0.7500  4 Ni 2.38, 4 W 2.38
4 Ni 0.0000 0.0000 0.0000  8 Be 2.38

density of states at the Fermi level = 4.6 states/eV/cell
E_form = 0.171 eV/atom
space-group type = No. 225
total moment = 1.1 μB/f.u.

---

# 2
## MnCdOs2 (GGA-PBEsol)

Data for an optimized crystal structure of MnCdOs2.

Cell lengths 2.7807, 3.8118, 5.6344 Å; angles 90.00, 90.00, 90.00 degrees
Last column: nearest neighbours and their distance in Å.
Positions (direct):
1 Os 0.0000 0.0000 0.0107  6 Os 2.62-2.78, 4 Mn 2.73, 2 Cd 2.80-2.83
2 Os 0.5000 0.5000 0.2122  1 Mn 2.50, 6 Os 2.62-2.78
3 Mn 0.5000 0.5000 0.7685  5 Os 2.50-2.73, 4 Cd 2.78, 2 Mn 2.78
4 Cd 0.0000 0.0000 0.5085  4 Mn 2.78, 2 Cd 2.78, 6 Os 2.80-2.89

density of states at the Fermi level = 2.8 states/eV/cell
E_form = 0.382 eV/atom
space-group type = No. 25
total moment = 3.4 μB/f.u.